# 1
# LiAsClO2

An optimized crystal structure of LiAsClO2 (PBE, Alexandria via LeMat-Bulk).

```
data_LiAsClO2
_space_group_name_H-M_alt 'P 1 21/m 1'
_space_group_IT_number 11
_cell_length_a 6.454
_cell_length_b 3.919
_cell_length_c 6.978
_cell_angle_alpha 90.00
_cell_angle_beta 115.89
_cell_angle_gamma 90.00
loop_
_space_group_symop_operation_xyz
'x,y,z'
'-x,-y,-z'
'-x,y+1/2,-z'
'x,-y+1/2,z'
loop_
_atom_site_label
_atom_site_fract_x
_atom_site_fract_y
_atom_site_fract_z
Li1 0.173 0.250 0.017
As1 0.292 0.750 0.426
Cl1 0.230 0.750 0.773
O1 0.175 0.750 0.150
O2 0.384 0.250 0.462
```

Calculated values
M_tot   0.0 μB/f.u.
D(E_F)   3.3 states/eV/cell
Energy relative to the elements, uncorrected   -1.2091 eV per atom
Calculated density   3.1 g/cm3

# 2
# Li2AsClO3

An optimized crystal structure of Li2AsClO3 (PBE, Alexandria via LeMat-Bulk).

```
data_Li2AsClO3
_space_group_name_H-M_alt 'R -3 m'
_space_group_IT_number 166
_space_group_name_Hall '-R 3 2"'
_cell_length_a 5.8655
_cell_length_b 5.8655
_cell_length_c 18.6167
_cell_angle_alpha 90.00
_cell_angle_beta 90.00
_cell_angle_gamma 120.00
loop_
_atom_site_label
_atom_site_fract_x
_atom_site_fract_y
_atom_site_fract_z
Li1 0.0000 0.0000 0.0000
Li2 0.0000 0.5000 0.5000
As1 0.0000 0.0000 0.4147
Cl1 0.0000 0.0000 0.2958
O1 0.0045 0.5022 0.2321
```

Calculated values
M_tot   0.0 μB/f.u.
D(E_F)   0.0 states/eV/cell
Energy relative to the elements, uncorrected   -1.4417 eV per atom
Calculated density   3.1 g/cm3

# 3
# LiAsOs2Cl

An optimized crystal structure of LiAsOs2Cl (PBE, Alexandria via LeMat-Bulk).

```
data_LiAsOs2Cl
_space_group_name_H-M_alt 'P 4/m m m'
_space_group_IT_number 123
_space_group_name_Hall '-P 4 2'
_cell_length_a 4.384
_cell_length_b 4.384
_cell_length_c 4.097
_cell_angle_alpha 90.00
_cell_angle_beta 90.00
_cell_angle_gamma 90.00
loop_
_atom_site_label
_atom_site_fract_x
_atom_site_fract_y
_atom_site_fract_z
Li1 0.000 0.000 0.000
As1 0.000 0.000 0.500
Os1 0.000 0.500 0.000
Cl1 0.500 0.500 0.500
```

Calculated values
M_tot   2.2 μB/f.u.
D(E_F)   5.7 states/eV/cell
Energy relative to the elements, uncorrected   1.7000 eV per atom
Calculated density   10.5 g/cm3

# 4
# Li2AsPdCl

An optimized crystal structure of Li2AsPdCl (PBE, Alexandria via LeMat-Bulk).

```
data_Li2AsPdCl
_space_group_name_H-M_alt 'P 4/m m m'
_space_group_IT_number 123
_space_group_name_Hall '-P 4 2'
_cell_length_a 5.135
_cell_length_b 5.135
_cell_length_c 4.563
_cell_angle_alpha 90.00
_cell_angle_beta 90.00
_cell_angle_gamma 90.00
loop_
_atom_site_label
_atom_site_fract_x
_atom_site_fract_y
_atom_site_fract_z
Li1 0.000 0.500 0.000
As1 0.000 0.000 0.000
Pd1 0.000 0.000 0.500
Cl1 0.500 0.500 0.500
```

Calculated values
M_tot   0.0 μB/f.u.
D(E_F)   3.7 states/eV/cell
Energy relative to the elements, uncorrected   -0.3592 eV per atom
Calculated density   3.2 g/cm3

# 5
# RbLiAsCl6

An optimized crystal structure of RbLiAsCl6 (PBE, Alexandria via LeMat-Bulk).

```
data_RbLiAsCl6
_space_group_name_H-M_alt 'P 3 1 2'
_space_group_IT_number 149
_cell_length_a 6.5509
_cell_length_b 6.5509
_cell_length_c 7.3639
_cell_angle_alpha 90.00
_cell_angle_beta 90.00
_cell_angle_gamma 120.00
loop_
_space_group_symop_operation_xyz
'x,y,z'
'-y,x-y,z'
'-x+y,-x,z'
'-y,-x,-z'
'-x+y,y,-z'
'x,x-y,-z'
loop_
_atom_site_label
_atom_site_fract_x
_atom_site_fract_y
_atom_site_fract_z
Rb1 0.0000 0.0000 0.0000
Li1 0.3333 0.6667 0.5000
As1 0.6667 0.3333 0.5000
Cl1 0.3815 0.0198 0.6896
```

Calculated values
M_tot   0.8 μB/f.u.
D(E_F)   4.7 states/eV/cell
Energy relative to the elements, uncorrected   -1.1166 eV per atom
Calculated density   2.3 g/cm3

# 6
# LiAs2SeCl

An optimized crystal structure of LiAs2SeCl (PBE, Alexandria via LeMat-Bulk).

```
data_LiAs2SeCl
_space_group_name_H-M_alt 'P 4/m m m'
_space_group_IT_number 123
_space_group_name_Hall '-P 4 2'
_cell_length_a 4.792
_cell_length_b 4.792
_cell_length_c 4.473
_cell_angle_alpha 90.00
_cell_angle_beta 90.00
_cell_angle_gamma 90.00
loop_
_atom_site_label
_atom_site_fract_x
_atom_site_fract_y
_atom_site_fract_z
Li1 0.000 0.000 0.000
As1 0.000 0.500 0.000
Se1 0.000 0.000 0.500
Cl1 0.500 0.500 0.500
```

Calculated values
M_tot   0.0 μB/f.u.
ΔE to the lowest computed polymorph   0 kJ/mol of formula units
D(E_F)   5.1 states/eV/cell
Energy relative to the elements, uncorrected   0.4611 eV per atom
Calculated density   4.4 g/cm3

# 7
# LiAs2SeCl

An optimized crystal structure of LiAs2SeCl (PBE, Alexandria via LeMat-Bulk).

```
data_LiAs2SeCl
_space_group_name_H-M_alt 'P 4/m m m'
_space_group_IT_number 123
_space_group_name_Hall '-P 4 2'
_cell_length_a 4.893
_cell_length_b 4.893
_cell_length_c 5.364
_cell_angle_alpha 90.00
_cell_angle_beta 90.00
_cell_angle_gamma 90.00
loop_
_atom_site_label
_atom_site_fract_x
_atom_site_fract_y
_atom_site_fract_z
Li1 0.000 0.000 0.000
As1 0.000 0.500 0.500
Se1 0.500 0.500 0.000
Cl1 0.500 0.500 0.500
```

Calculated values
M_tot   0.7 μB/f.u.
ΔE to the lowest computed polymorph   102 kJ/mol of formula units
D(E_F)   4.6 states/eV/cell
Energy relative to the elements, uncorrected   0.6726 eV per atom
Calculated density   3.5 g/cm3

# 8
# Li2AsSeCl

An optimized crystal structure of Li2AsSeCl (PBE, Alexandria via LeMat-Bulk).

```
data_Li2AsSeCl
_space_group_name_H-M_alt 'P 4/m m m'
_space_group_IT_number 123
_space_group_name_Hall '-P 4 2'
_cell_length_a 4.239
_cell_length_b 4.239
_cell_length_c 6.464
_cell_angle_alpha 90.00
_cell_angle_beta 90.00
_cell_angle_gamma 90.00
loop_
_atom_site_label
_atom_site_fract_x
_atom_site_fract_y
_atom_site_fract_z
Li1 0.000 0.500 0.000
As1 0.000 0.000 0.500
Se1 0.500 0.500 0.500
Cl1 0.500 0.500 0.000
```

Calculated values
M_tot   0.0 μB/f.u.
D(E_F)   2.2 states/eV/cell
Energy relative to the elements, uncorrected   -0.3961 eV per atom
Calculated density   2.9 g/cm3

# 9
# LiTlAsCl6

An optimized crystal structure of LiTlAsCl6 (PBE, Alexandria via LeMat-Bulk).

```
data_LiTlAsCl6
_space_group_name_H-M_alt 'P 3 1 2'
_space_group_IT_number 149
_cell_length_a 6.5668
_cell_length_b 6.5668
_cell_length_c 6.3680
_cell_angle_alpha 90.00
_cell_angle_beta 90.00
_cell_angle_gamma 120.00
loop_
_space_group_symop_operation_xyz
'x,y,z'
'-y,x-y,z'
'-x+y,-x,z'
'-y,-x,-z'
'-x+y,y,-z'
'x,x-y,-z'
loop_
_atom_site_label
_atom_site_fract_x
_atom_site_fract_y
_atom_site_fract_z
Li1 0.0000 0.0000 0.0000
Tl1 0.6667 0.3333 0.5000
As1 0.3333 0.6667 0.0000
Cl1 0.0333 0.3476 0.2217
```

Calculated values
M_tot   0.0 μB/f.u.
D(E_F)   3.0 states/eV/cell
Energy relative to the elements, uncorrected   -0.8982 eV per atom
Calculated density   3.5 g/cm3

# 10
# Li2ZnAsCl

An optimized crystal structure of Li2ZnAsCl (PBE, Alexandria via LeMat-Bulk).

```
data_Li2ZnAsCl
_space_group_name_H-M_alt 'P 4/m m m'
_space_group_IT_number 123
_space_group_name_Hall '-P 4 2'
_cell_length_a 4.298
_cell_length_b 4.298
_cell_length_c 5.293
_cell_angle_alpha 90.00
_cell_angle_beta 90.00
_cell_angle_gamma 90.00
loop_
_atom_site_label
_atom_site_fract_x
_atom_site_fract_y
_atom_site_fract_z
Li1 0.000 0.500 0.000
Zn1 0.000 0.000 0.500
As1 0.500 0.500 0.500
Cl1 0.000 0.000 0.000
```

Calculated values
M_tot   0.0 μB/f.u.
D(E_F)   1.0 states/eV/cell
Energy relative to the elements, uncorrected   -0.4598 eV per atom
Calculated density   3.2 g/cm3

# 11
# Mg3AsCl

An optimized crystal structure of Mg3AsCl (PBE, Alexandria via LeMat-Bulk).

```
data_Mg3AsCl
_space_group_name_H-M_alt 'P m -3 m'
_space_group_IT_number 221
_space_group_name_Hall '-P 4 2 3'
_cell_length_a 5.261
_cell_length_b 5.261
_cell_length_c 5.261
_cell_angle_alpha 90.00
_cell_angle_beta 90.00
_cell_angle_gamma 90.00
loop_
_atom_site_label
_atom_site_fract_x
_atom_site_fract_y
_atom_site_fract_z
Mg1 0.000 0.000 0.500
As1 0.000 0.000 0.000
Cl1 0.500 0.500 0.500
```

Calculated values
M_tot   0.0 μB/f.u.
ΔE to the lowest computed polymorph   0 kJ/mol of formula units
D(E_F)   2.7 states/eV/cell
Energy relative to the elements, uncorrected   -0.2263 eV per atom
Calculated density   2.1 g/cm3

# 12
# MgAs3Cl

An optimized crystal structure of MgAs3Cl (PBE, Alexandria via LeMat-Bulk).

```
data_MgAs3Cl
_space_group_name_H-M_alt 'P m -3 m'
_space_group_IT_number 221
_space_group_name_Hall '-P 4 2 3'
_cell_length_a 4.909
_cell_length_b 4.909
_cell_length_c 4.909
_cell_angle_alpha 90.00
_cell_angle_beta 90.00
_cell_angle_gamma 90.00
loop_
_atom_site_label
_atom_site_fract_x
_atom_site_fract_y
_atom_site_fract_z
Mg1 0.000 0.000 0.000
As1 0.000 0.500 0.500
Cl1 0.500 0.500 0.500
```

Calculated values
M_tot   0.0 μB/f.u.
ΔE to the lowest computed polymorph   53 kJ/mol of formula units
D(E_F)   3.9 states/eV/cell
Energy relative to the elements, uncorrected   0.8048 eV per atom
Calculated density   4.0 g/cm3

# 13
# MgAs3Cl

An optimized crystal structure of MgAs3Cl (PBE, Alexandria via LeMat-Bulk).

```
data_MgAs3Cl
_space_group_name_H-M_alt 'P m -3 m'
_space_group_IT_number 221
_space_group_name_Hall '-P 4 2 3'
_cell_length_a 5.017
_cell_length_b 5.017
_cell_length_c 5.017
_cell_angle_alpha 90.00
_cell_angle_beta 90.00
_cell_angle_gamma 90.00
loop_
_atom_site_label
_atom_site_fract_x
_atom_site_fract_y
_atom_site_fract_z
Mg1 0.000 0.000 0.000
As1 0.000 0.000 0.500
Cl1 0.500 0.500 0.500
```

Calculated values
M_tot   0.0 μB/f.u.
ΔE to the lowest computed polymorph   0 kJ/mol of formula units
D(E_F)   5.6 states/eV/cell
Energy relative to the elements, uncorrected   0.6946 eV per atom
Calculated density   3.7 g/cm3

# 14
# Mg2As2Cl

An optimized crystal structure of Mg2As2Cl (PBE, Alexandria via LeMat-Bulk).

```
data_Mg2As2Cl
_space_group_name_H-M_alt 'P 4/m b m'
_space_group_IT_number 127
_space_group_name_Hall '-P 4 2ab'
_cell_length_a 8.099
_cell_length_b 8.099
_cell_length_c 3.130
_cell_angle_alpha 90.00
_cell_angle_beta 90.00
_cell_angle_gamma 90.00
loop_
_atom_site_label
_atom_site_fract_x
_atom_site_fract_y
_atom_site_fract_z
Mg1 0.173 0.327 0.000
As1 0.125 0.625 0.500
Cl1 0.000 0.000 0.000
```

Calculated values
M_tot   0.0 μB/f.u.
D(E_F)   8.5 states/eV/cell
Energy relative to the elements, uncorrected   -0.3526 eV per atom
Calculated density   3.8 g/cm3

# 15
# Mg3AsCl

An optimized crystal structure of Mg3AsCl (PBE, Alexandria via LeMat-Bulk).

```
data_Mg3AsCl
_space_group_name_H-M_alt 'P m -3 m'
_space_group_IT_number 221
_space_group_name_Hall '-P 4 2 3'
_cell_length_a 4.969
_cell_length_b 4.969
_cell_length_c 4.969
_cell_angle_alpha 90.00
_cell_angle_beta 90.00
_cell_angle_gamma 90.00
loop_
_atom_site_label
_atom_site_fract_x
_atom_site_fract_y
_atom_site_fract_z
Mg1 0.000 0.000 0.500
As1 0.500 0.500 0.500
Cl1 0.000 0.000 0.000
```

Calculated values
M_tot   0.0 μB/f.u.
ΔE to the lowest computed polymorph   145 kJ/mol of formula units
D(E_F)   4.1 states/eV/cell
Energy relative to the elements, uncorrected   0.0752 eV per atom
Calculated density   2.5 g/cm3

# 16
# MgMoAs2Cl

An optimized crystal structure of MgMoAs2Cl (PBE, Alexandria via LeMat-Bulk).

```
data_MgMoAs2Cl
_space_group_name_H-M_alt 'P 4/m m m'
_space_group_IT_number 123
_space_group_name_Hall '-P 4 2'
_cell_length_a 5.078
_cell_length_b 5.078
_cell_length_c 4.367
_cell_angle_alpha 90.00
_cell_angle_beta 90.00
_cell_angle_gamma 90.00
loop_
_atom_site_label
_atom_site_fract_x
_atom_site_fract_y
_atom_site_fract_z
Mg1 0.000 0.000 0.000
Mo1 0.500 0.500 0.000
As1 0.000 0.500 0.500
Cl1 0.500 0.500 0.500
```

Calculated values
M_tot   1.2 μB/f.u.
D(E_F)   4.5 states/eV/cell
Energy relative to the elements, uncorrected   1.0339 eV per atom
Calculated density   4.5 g/cm3

# 17
# MgAsNCl2

An optimized crystal structure of MgAsNCl2 (PBE, Alexandria via LeMat-Bulk).

```
data_MgAsNCl2
_space_group_name_H-M_alt 'P 4/m m m'
_space_group_IT_number 123
_space_group_name_Hall '-P 4 2'
_cell_length_a 5.082
_cell_length_b 5.082
_cell_length_c 5.171
_cell_angle_alpha 90.00
_cell_angle_beta 90.00
_cell_angle_gamma 90.00
loop_
_atom_site_label
_atom_site_fract_x
_atom_site_fract_y
_atom_site_fract_z
Mg1 0.000 0.000 0.000
As1 0.000 0.000 0.500
N1 0.500 0.500 0.000
Cl1 0.000 0.500 0.500
```

Calculated values
M_tot   2.3 μB/f.u.
D(E_F)   2.0 states/eV/cell
Energy relative to the elements, uncorrected   0.7136 eV per atom
Calculated density   2.3 g/cm3

# 18
# Mg2AsSCl

An optimized crystal structure of Mg2AsSCl (PBE, Alexandria via LeMat-Bulk).

```
data_Mg2AsSCl
_space_group_name_H-M_alt 'P 4/m m m'
_space_group_IT_number 123
_space_group_name_Hall '-P 4 2'
_cell_length_a 5.112
_cell_length_b 5.112
_cell_length_c 4.668
_cell_angle_alpha 90.00
_cell_angle_beta 90.00
_cell_angle_gamma 90.00
loop_
_atom_site_label
_atom_site_fract_x
_atom_site_fract_y
_atom_site_fract_z
Mg1 0.000 0.500 0.000
As1 0.000 0.000 0.000
S1 0.500 0.500 0.500
Cl1 0.000 0.000 0.500
```

Calculated values
M_tot   0.0 μB/f.u.
D(E_F)   0.2 states/eV/cell
Energy relative to the elements, uncorrected   -0.2233 eV per atom
Calculated density   2.6 g/cm3

# 19
# MgAsSe2Cl

An optimized crystal structure of MgAsSe2Cl (PBE, Alexandria via LeMat-Bulk).

```
data_MgAsSe2Cl
_space_group_name_H-M_alt 'P 4/m m m'
_space_group_IT_number 123
_space_group_name_Hall '-P 4 2'
_cell_length_a 4.903
_cell_length_b 4.903
_cell_length_c 5.377
_cell_angle_alpha 90.00
_cell_angle_beta 90.00
_cell_angle_gamma 90.00
loop_
_atom_site_label
_atom_site_fract_x
_atom_site_fract_y
_atom_site_fract_z
Mg1 0.000 0.000 0.000
As1 0.000 0.000 0.500
Se1 0.000 0.500 0.000
Cl1 0.500 0.500 0.500
```

Calculated values
M_tot   0.0 μB/f.u.
ΔE to the lowest computed polymorph   0 kJ/mol of formula units
D(E_F)   3.9 states/eV/cell
Energy relative to the elements, uncorrected   0.3785 eV per atom
Calculated density   3.8 g/cm3

# 20
# MgAs2SeCl

An optimized crystal structure of MgAs2SeCl (PBE, Alexandria via LeMat-Bulk).

```
data_MgAs2SeCl
_space_group_name_H-M_alt 'P 4/m m m'
_space_group_IT_number 123
_space_group_name_Hall '-P 4 2'
_cell_length_a 5.117
_cell_length_b 5.117
_cell_length_c 4.867
_cell_angle_alpha 90.00
_cell_angle_beta 90.00
_cell_angle_gamma 90.00
loop_
_atom_site_label
_atom_site_fract_x
_atom_site_fract_y
_atom_site_fract_z
Mg1 0.000 0.000 0.000
As1 0.000 0.500 0.000
Se1 0.000 0.000 0.500
Cl1 0.500 0.500 0.500
```

Calculated values
M_tot   0.0 μB/f.u.
ΔE to the lowest computed polymorph   0 kJ/mol of formula units
D(E_F)   4.7 states/eV/cell
Energy relative to the elements, uncorrected   0.5176 eV per atom
Calculated density   3.8 g/cm3